Entry 1:
SbTeSe: optimized geometry, PBE-GGA.

Values from the calculation:
Mass density ... 4.91 Mg/m³
Size of the total moment ... 0.00 μB/f.u.
Formation energy (no corrections) ... 0.065 eV per atom

abc: 7.7929 7.7929 7.7929
angles: 151.00 151.00 41.47
Last column: nearest neighbours and their distance in Å.
Atoms (fractional coordinates):
Sb1 0.8826 0.8826 0.0000  1 Te 2.79, 4 Se 2.83
Se1 0.4262 0.4262 0.0000  4 Sb 2.83
Te1 0.6911 0.6911 0.0000  1 Sb 2.79

Entry 2:
VFe4Pd15: optimized geometry, PBE-GGA.

Values from the calculation:
Formation enthalpy at 0 K ... -129 meV/atom
Mass density ... 10.53 Mg/m³
Size of the total moment ... 18.29 μB/f.u.

abc: 3.8992 3.8992 19.4016
angles: 90.00 90.00 90.00
Last column: nearest neighbours and their distance in Å.
Atoms (fractional coordinates):
Pd1 0.0000 0.5000 0.5000  8 Pd 2.75-2.76, 4 Fe 2.75
Pd2 0.0000 0.5000 0.9008  8 Pd 2.74-2.76, 2 V 2.74, 2 Fe 2.78
Pd3 0.5000 0.0000 0.9008  8 Pd 2.74-2.76, 2 V 2.74, 2 Fe 2.78
Pd4 0.5000 0.5000 0.1999  8 Pd 2.75-2.76, 4 Fe 2.76
Pd5 0.5000 0.0000 0.3001  4 Fe 2.73-2.75, 8 Pd 2.75-2.76
Pd6 0.5000 0.5000 0.5998  8 Pd 2.75, 4 Fe 2.76
Pd7 0.0000 0.5000 0.3001  4 Fe 2.73-2.75, 8 Pd 2.75-2.76
Pd8 0.0000 0.5000 0.6999  4 Fe 2.73-2.75, 8 Pd 2.75-2.76
Pd9 0.5000 0.5000 0.4002  8 Pd 2.75, 4 Fe 2.76
Pd10 0.5000 0.0000 0.6999  4 Fe 2.73-2.75, 8 Pd 2.75-2.76
Pd11 0.0000 0.5000 0.0992  8 Pd 2.74-2.76, 2 V 2.74, 2 Fe 2.78
Pd12 0.5000 0.5000 0.0000  8 Pd 2.74, 4 V 2.76
Pd13 0.5000 0.5000 0.8001  8 Pd 2.75-2.76, 4 Fe 2.76
Pd14 0.5000 0.0000 0.5000  8 Pd 2.75-2.76, 4 Fe 2.75
Pd15 0.5000 0.0000 0.0992  8 Pd 2.74-2.76, 2 V 2.74, 2 Fe 2.78
Fe1 0.0000 0.0000 0.7987  12 Pd 2.73-2.78
Fe2 0.0000 0.0000 0.5999  12 Pd 2.75-2.76
Fe3 0.0000 0.0000 0.4001  12 Pd 2.75-2.76
Fe4 0.0000 0.0000 0.2013  12 Pd 2.73-2.78
V1 0.0000 0.0000 0.0000  12 Pd 2.74-2.76

Entry 3:
MgSiPb2Au: optimized geometry, PBE-GGA.

Values from the calculation:
Mass density ... 7.49 Mg/m³
Size of the total moment ... 0.00 μB/f.u.
Formation energy (no corrections) ... 0.729 eV per atom

abc: 5.4900 4.8824 5.4900
angles: 90.00 90.00 90.00
Last column: nearest neighbours and their distance in Å.
Atoms (fractional coordinates):
Au1 0.0000 0.5000 0.0000  2 Mg 2.44
Mg1 0.0000 0.0000 0.0000  2 Au 2.44
Pb1 0.0000 0.0000 0.5000  2 Mg 2.75
Pb2 0.5000 0.0000 0.0000  2 Mg 2.75
Si1 0.5000 0.5000 0.5000  8 Pb 3.67, 4 Au 3.88